Record 1
## KAlRe4 (PBE)

Data for crystalline KAlRe4 at its relaxed geometry.

Lattice parameters (Å, degrees): 5.3310 5.3310 5.3310 60.00 60.00 60.00
Sites, in units of the cell vectors:
K1 0.0000 0.0000 0.0000
Al1 0.2500 0.2500 0.2500
Re1 0.1267 0.6244 0.6244
Re2 0.6244 0.1267 0.6244
Re3 0.6244 0.6244 0.1267
Re4 0.6244 0.6244 0.6244

Values from the calculation:
Mass density, kg/m³: 12569
Calculated formation energy, meV/atom: 920
Symmetry: No. 216

***

Record 2
## KAlRe2 (PBE)

Data for crystalline KAlRe2 at its relaxed geometry.

Lattice parameters (Å, degrees): 4.5974 4.5974 4.5974 60.00 60.00 60.00
Sites, in units of the cell vectors:
K1 0.0000 0.0000 0.0000
Al1 0.7500 0.7500 0.7500
Re1 0.2500 0.2500 0.2500
Re2 0.5000 0.5000 0.5000

Values from the calculation:
Mass density, kg/m³: 10597
Calculated formation energy, meV/atom: 1142
Symmetry: No. 216

***

Record 3
## KAlRe2 (PBE)

Data for crystalline KAlRe2 at its relaxed geometry.

Lattice parameters (Å, degrees): 3.8896 3.8896 4.7627 90.00 90.00 90.00
Sites, in units of the cell vectors:
K1 0.0000 0.0000 0.0000
Al1 0.5000 0.5000 0.0000
Re1 0.0000 0.5000 0.5000
Re2 0.5000 0.0000 0.5000

Values from the calculation:
Mass density, kg/m³: 10105
Calculated formation energy, meV/atom: 1501
Symmetry: No. 123

***

Record 4
## KAlRe2 (PBE)

Data for crystalline KAlRe2 at its relaxed geometry.

Lattice parameters (Å, degrees): 9.9063 9.9063 9.9063 152.35 152.35 39.50
Sites, in units of the cell vectors:
K1 0.0000 0.0000 0.0000
K2 0.7500 0.2500 0.5000
Al1 0.2500 0.7500 0.5000
Al2 0.5000 0.5000 0.0000
Re1 0.3392 0.1250 0.7142
Re2 0.3750 0.6608 0.7858
Re3 0.4108 0.6250 0.2858
Re4 0.8750 0.5892 0.2142

Values from the calculation:
Mass density, kg/m³: 6968
Calculated formation energy, meV/atom: 1378
Symmetry: No. 122

***

Record 5
## KAlRe2 (PBE)

Data for crystalline KAlRe2 at its relaxed geometry.

Lattice parameters (Å, degrees): 2.7585 4.9950 5.1396 90.00 90.00 90.00
Sites, in units of the cell vectors:
K1 0.0000 0.0000 0.0000
Al1 0.5000 0.5000 0.0000
Re1 0.0000 0.5000 0.5000
Re2 0.5000 0.0000 0.5000

Values from the calculation:
Mass density, kg/m³: 10282
Calculated formation energy, meV/atom: 1265
Symmetry: No. 47

***

Record 6
## KAlRe2 (PBE)

Data for crystalline KAlRe2 at its relaxed geometry.

Lattice parameters (Å, degrees): 3.3301 3.3301 7.7277 90.00 90.00 90.00
Sites, in units of the cell vectors:
K1 0.0000 0.0000 0.0000
Al1 0.0000 0.0000 0.5000
Re1 0.5000 0.5000 0.3512
Re2 0.5000 0.5000 0.6488

Values from the calculation:
Mass density, kg/m³: 8497
Calculated formation energy, meV/atom: 850
Symmetry: No. 123

***

Record 7
## KAlRe3 (PBE)

Data for crystalline KAlRe3 at its relaxed geometry.

Lattice parameters (Å, degrees): 4.5208 4.5208 4.5208 90.00 90.00 90.00
Sites, in units of the cell vectors:
K1 0.0000 0.0000 0.0000
Al1 0.5000 0.5000 0.5000
Re1 0.0000 0.0000 0.5000
Re2 0.0000 0.5000 0.0000
Re3 0.5000 0.0000 0.0000

Values from the calculation:
Mass density, kg/m³: 11228
Calculated formation energy, meV/atom: 3692
Symmetry: No. 221

***

Record 8
## KAlRe2 (PBE)

Data for crystalline KAlRe2 at its relaxed geometry.

Lattice parameters (Å, degrees): 2.7772 3.8848 7.9871 90.00 90.00 90.00
Sites, in units of the cell vectors:
K1 0.0000 0.0000 0.0000
Al1 0.5000 0.5000 0.6646
Re1 0.0000 0.0000 0.4810
Re2 0.5000 0.5000 0.3428

Values from the calculation:
Mass density, kg/m³: 8450
Calculated formation energy, meV/atom: 511
Symmetry: No. 25

***

Record 9
## K4AlRe (PBE)

Data for crystalline K4AlRe at its relaxed geometry.

Lattice parameters (Å, degrees): 6.8377 6.8377 6.8377 60.00 60.00 60.00
Sites, in units of the cell vectors:
K1 0.1249 0.1249 0.1249
K2 0.1249 0.1249 0.6254
K3 0.1249 0.6254 0.1249
K4 0.6254 0.1249 0.1249
Al1 0.5000 0.5000 0.5000
Re1 0.7500 0.7500 0.7500

Values from the calculation:
Mass density, kg/m³: 2715
Calculated formation energy, meV/atom: 1412
Symmetry: No. 216

***

Record 10
## KAlRe2 (PBE)

Data for crystalline KAlRe2 at its relaxed geometry.

Lattice parameters (Å, degrees): 2.7510 4.2330 7.4817 90.00 90.00 90.00
Sites, in units of the cell vectors:
K1 0.0000 0.0000 0.0000
Al1 0.0000 0.0000 0.5000
Re1 0.5000 0.5000 0.3475
Re2 0.5000 0.5000 0.6525

Values from the calculation:
Mass density, kg/m³: 8357
Calculated formation energy, meV/atom: 772
Symmetry: No. 47

***

Record 11
## KAlRe2 (PBE)

Data for crystalline KAlRe2 at its relaxed geometry.

Lattice parameters (Å, degrees): 6.0245 6.0245 5.1831 113.33 113.33 25.24
Sites, in units of the cell vectors:
K1 0.0000 0.0000 0.0000
Al1 0.5000 0.5000 0.5000
Re1 0.2101 0.2101 0.7005
Re2 0.7899 0.7899 0.2995

Values from the calculation:
Mass density, kg/m³: 9931
Calculated formation energy, meV/atom: 874
Symmetry: No. 12

***

Record 12
## KAlRe2 (PBE)

Data for crystalline KAlRe2 at its relaxed geometry.

Lattice parameters (Å, degrees): 10.4370 10.4370 10.4370 15.44 15.44 15.44
Sites, in units of the cell vectors:
K1 0.0000 0.0000 0.0000
Al1 0.5000 0.5000 0.5000
Re1 0.2360 0.2360 0.2360
Re2 0.7640 0.7640 0.7640

Values from the calculation:
Mass density, kg/m³: 10373
Calculated formation energy, meV/atom: 635
Symmetry: No. 166

***

Record 13
## KAl4Re (PBE)

Data for crystalline KAl4Re at its relaxed geometry.

Lattice parameters (Å, degrees): 5.3116 5.3116 5.3116 60.00 60.00 60.00
Sites, in units of the cell vectors:
K1 0.0000 0.0000 0.0000
Al1 0.3756 0.3756 0.3756
Al2 0.3756 0.3756 0.8731
Al3 0.3756 0.8731 0.3756
Al4 0.8731 0.3756 0.3756
Re1 0.7500 0.7500 0.7500

Values from the calculation:
Mass density, kg/m³: 5222
Calculated formation energy, meV/atom: 457
Symmetry: No. 216

***

Record 14
## K3AlRe (PBE)

Data for crystalline K3AlRe at its relaxed geometry.

Lattice parameters (Å, degrees): 6.3481 6.3481 6.3481 90.00 90.00 90.00
Sites, in units of the cell vectors:
K1 0.0000 0.0000 0.5000
K2 0.0000 0.5000 0.0000
K3 0.5000 0.0000 0.0000
Al1 0.5000 0.5000 0.5000
Re1 0.0000 0.0000 0.0000

Values from the calculation:
Mass density, kg/m³: 2145
Calculated formation energy, meV/atom: 1662
Symmetry: No. 221

***

Record 15
## KAlRe2 (PBE)

Data for crystalline KAlRe2 at its relaxed geometry.

Lattice parameters (Å, degrees): 5.7457 5.7457 2.6490 98.76 98.76 121.74
Sites, in units of the cell vectors:
K1 0.0000 0.0000 0.0000
Al1 0.5000 0.5000 0.0000
Re1 0.0000 0.5000 0.5000
Re2 0.5000 0.0000 0.5000

Values from the calculation:
Mass density, kg/m³: 10307
Calculated formation energy, meV/atom: 1210
Symmetry: No. 12

***

Record 16
## KAlRe2 (PBE)

Data for crystalline KAlRe2 at its relaxed geometry.

Lattice parameters (Å, degrees): 5.6626 5.6626 2.5994 90.00 90.00 121.38
Sites, in units of the cell vectors:
K1 0.0000 0.0000 0.0000
Al1 0.5000 0.5000 0.0000
Re1 0.0000 0.5000 0.5000
Re2 0.5000 0.0000 0.5000

Values from the calculation:
Mass density, kg/m³: 10233
Calculated formation energy, meV/atom: 1280
Symmetry: No. 65

***

Record 17
## KAlRe3 (PBE)

Data for crystalline KAlRe3 at its relaxed geometry.

Lattice parameters (Å, degrees): 4.6648 4.6648 4.6648 90.00 90.00 90.00
Sites, in units of the cell vectors:
K1 0.0000 0.0000 0.0000
Al1 0.5000 0.5000 0.5000
Re1 0.0000 0.5000 0.5000
Re2 0.5000 0.0000 0.5000
Re3 0.5000 0.5000 0.0000

Values from the calculation:
Mass density, kg/m³: 10220
Calculated formation energy, meV/atom: 2215
Symmetry: No. 221

***

Record 18
## KAlRe2 (PBE)

Data for crystalline KAlRe2 at its relaxed geometry.

Lattice parameters (Å, degrees): 2.7117 2.7117 10.1346 90.00 90.00 109.51
Sites, in units of the cell vectors:
K1 0.0000 0.0000 0.0000
Al1 0.0000 0.0000 0.5000
Re1 0.5000 0.5000 0.2932
Re2 0.5000 0.5000 0.7068

Values from the calculation:
Mass density, kg/m³: 10366
Calculated formation energy, meV/atom: 640
Symmetry: No. 65

***

Record 19
## KAlReS2 (PBE)

Data for crystalline KAlReS2 at its relaxed geometry.

Lattice parameters (Å, degrees): 5.5692 5.5692 5.7612 90.00 90.00 90.00
Sites, in units of the cell vectors:
K1 0.0000 0.0000 0.0000
Al1 0.5000 0.5000 0.5000
Re1 0.0000 0.0000 0.5000
S1 0.0000 0.5000 0.0000
S2 0.5000 0.0000 0.0000

Values from the calculation:
Mass density, kg/m³: 2940
E_form (uncorrected), meV/atom: 2094.5
Symmetry: No. 123

***

Record 20
## KAlReSn2 (PBE)

Data for crystalline KAlReSn2 at its relaxed geometry.

Lattice parameters (Å, degrees): 5.2501 5.2501 5.6725 90.00 90.00 90.00
Sites, in units of the cell vectors:
K1 0.0000 0.0000 0.0000
Al1 0.0000 0.0000 0.5000
Re1 0.5000 0.5000 0.0000
Sn1 0.0000 0.5000 0.5000
Sn2 0.5000 0.0000 0.5000

Values from the calculation:
Mass density, kg/m³: 5201
Calculated formation energy, meV/atom: 1519
Symmetry: No. 123